1.
FeCo2BiPb after structural relaxation. Source: the Alexandria database, functional PBE.

a b c (Å): 4.6357 4.8781 4.6357
angles (deg): 90.00 90.00 90.00
Closest atoms and distances in Å follow each position.
Positions (direct):
Pb  0.5000  0.5000  0.5000  4 Bi 3.28, 8 Co 3.36
Co  0.0000  0.0000  0.5000  2 Fe 2.32
Co  0.5000  0.0000  0.0000  2 Fe 2.32
Bi  0.0000  0.5000  0.0000  2 Fe 2.44
Fe  0.0000  0.0000  0.0000  4 Co 2.32, 2 Bi 2.44

Summary:
Energy, eV/atom: -5.18
Formation energy, eV per atom: 0.88
DOS(E_F), states/eV/cell: 7.6


2.
FeCoBi2Pb after structural relaxation. Source: the Alexandria database, functional PBE.

a b c (Å): 5.2113 4.6276 5.2113
angles (deg): 90.00 90.00 90.00
Closest atoms and distances in Å follow each position.
Positions (direct):
Pb  0.5000  0.5000  0.5000  8 Bi 3.48, 4 Co 3.68
Co  0.0000  0.5000  0.0000  2 Fe 2.31
Bi  0.0000  0.0000  0.5000  2 Fe 2.61
Bi  0.5000  0.0000  0.0000  2 Fe 2.61
Fe  0.0000  0.0000  0.0000  2 Co 2.31

Summary:
Energy, eV/atom: -4.75
Formation energy, eV per atom: 0.65
DOS(E_F), states/eV/cell: 5.9


3.
Fe2CoBiSb after structural relaxation. Source: the Alexandria database, functional PBE.

a b c (Å): 4.6578 4.6367 4.6578
angles (deg): 90.00 90.00 90.00
Closest atoms and distances in Å follow each position.
Positions (direct):
Sb  0.0000  0.5000  0.0000  2 Co 2.32
Co  0.0000  0.0000  0.0000  2 Sb 2.32, 4 Fe 2.33
Bi  0.5000  0.5000  0.5000  8 Fe 3.29, 4 Sb 3.29
Fe  0.0000  0.0000  0.5000  2 Co 2.33
Fe  0.5000  0.0000  0.0000  2 Co 2.33

Summary:
Energy, eV/atom: -5.74
Formation energy without anion corrections, eV/atom: 0.666
DOS(E_F), states/eV/cell: 5.4


4.
FeCoBi2Se after structural relaxation. Source: the Alexandria database, functional PBE.

a b c (Å): 5.1607 4.2017 5.1607
angles (deg): 90.00 90.00 90.00
Closest atoms and distances in Å follow each position.
Positions (direct):
Co  0.0000  0.5000  0.0000  2 Fe 2.10
Bi  0.0000  0.0000  0.5000  2 Fe 2.58
Bi  0.5000  0.0000  0.0000  2 Fe 2.58
Se  0.5000  0.5000  0.5000  8 Bi 3.33, 4 Co 3.65
Fe  0.0000  0.0000  0.0000  2 Co 2.10

Summary:
Energy, eV/atom: -4.63
Formation energy without anion corrections, eV/atom: 0.728
DOS(E_F), states/eV/cell: 6.7


5.
FeCo2SiBi after structural relaxation. Source: the Alexandria database, functional PBE.

a b c (Å): 4.3010 4.3968 4.3010
angles (deg): 90.00 90.00 90.00
Closest atoms and distances in Å follow each position.
Positions (direct):
Si  0.0000  0.0000  0.0000  4 Co 2.15, 2 Fe 2.20
Co  0.0000  0.0000  0.5000  2 Si 2.15
Co  0.5000  0.0000  0.0000  2 Si 2.15
Bi  0.5000  0.5000  0.5000  4 Fe 3.04, 8 Co 3.08
Fe  0.0000  0.5000  0.0000  2 Si 2.20

Summary:
Energy, eV/atom: -5.95
Formation energy without anion corrections, eV/atom: 0.445
DOS(E_F), states/eV/cell: 6.9


6.
Tb12FeCoBi4 after structural relaxation. Source: the Alexandria database, functional PBE.

a b c (Å): 4.1315 8.4326 14.5891
angles (deg): 89.77 90.00 90.00
Closest atoms and distances in Å follow each position.
Positions (direct):
Tb  0.5000  0.8062  0.8037  4 Bi 3.29-3.31, 1 Co 3.54, 4 Tb 3.58-3.60
Tb  0.5000  0.3179  0.3101  1 Fe 3.23, 4 Bi 3.31-3.32, 4 Tb 3.54-3.55
Tb  0.0000  0.1194  0.8927  2 Co 2.94
Tb  0.0000  0.6321  0.3875  2 Fe 2.82
Tb  0.0000  0.2816  0.5062  2 Fe 2.85
Tb  0.0000  0.7751  0.0038  2 Co 2.81
Tb  0.0000  0.6247  0.6199  2 Fe 2.86
Tb  0.0000  0.1289  0.1221  2 Co 2.78
Tb  0.5000  0.3097  0.7048  4 Bi 3.29-3.30, 1 Fe 3.45, 4 Tb 3.57-3.58
Tb  0.5000  0.8172  0.2001  1 Co 3.06, 4 Bi 3.33-3.35
Tb  0.5000  0.4061  0.0047  4 Bi 3.30-3.31, 1 Co 3.43, 4 Tb 3.55-3.58
Tb  0.5000  0.9068  0.5060  1 Fe 3.31, 4 Bi 3.31-3.32, 4 Tb 3.56
Fe  0.5000  0.5145  0.5000  6 Tb 2.82-2.86
Co  0.5000  0.0001  0.0186  7 Tb 2.78-3.06
Bi  0.0000  0.0103  0.6728  9 Tb 3.29-3.34
Bi  0.0000  0.5113  0.1713  9 Tb 3.30-3.33
Bi  0.0000  0.5054  0.8381  9 Tb 3.29-3.35
Bi  0.0000  0.0152  0.3391  9 Tb 3.30-3.35

Summary:
Energy, eV/atom: -5.26
Formation energy, eV per atom: -0.44
DOS(E_F), states/eV/cell: 17.6


7.
GaCoBi2 after structural relaxation. Source: the Alexandria database, functional PBE.

a b c (Å): 6.1823 6.1823 7.5673
angles (deg): 65.89 65.89 90.00
Closest atoms and distances in Å follow each position.
Positions (direct):
Co  0.5000  0.5000  0.0000  4 Bi 2.52
Co  0.2500  0.7500  0.5000  4 Bi 2.52
Bi  0.5771  0.1250  0.2500  2 Co 2.52
Bi  0.1729  0.6250  0.2500  2 Co 2.52
Bi  0.3750  0.4229  0.7500  2 Co 2.52
Bi  0.8750  0.8271  0.7500  2 Co 2.52
Ga  0.0000  0.0000  0.0000  4 Bi 2.86
Ga  0.7500  0.2500  0.5000  4 Bi 2.86

Summary:
Energy, eV/atom: -4.09
Formation energy, eV per atom: 0.39
DOS(E_F), states/eV/cell: 6.2


8.
GaCoBi3 after structural relaxation. Source: the Alexandria database, functional PBE.

a b c (Å): 5.1596 5.1596 5.1596
angles (deg): 90.00 90.00 90.00
Closest atoms and distances in Å follow each position.
Positions (direct):
Co  0.0000  0.0000  0.0000  6 Bi 2.58
Bi  0.0000  0.5000  0.0000  2 Co 2.58
Bi  0.0000  0.0000  0.5000  2 Co 2.58
Bi  0.5000  0.0000  0.0000  2 Co 2.58
Ga  0.5000  0.5000  0.5000  12 Bi 3.65

Summary:
Energy, eV/atom: -3.96
Formation energy, eV per atom: 0.40
DOS(E_F), states/eV/cell: 7.2


> Among the records above, which one has the lowest DOS(E_F)?

Fe2CoBiSb